{
  "formula": "PmDyCoNi",
  "functional": "PBE-GGA",
  "state": "relaxed",
  "dft_energy_ev_per_atom": -5.8198,
  "delta_e_f_ev_per_atom": -0.260,
  "mass_density_g_cm3": 8.58,
  "spacegroup": "Amm2 (38)",
  "relative_energy_ev_per_fu": 0.00,
  "crystal_system": "orthorhombic",
  "lattice_angstrom": [[3.958, 0.000, 0.000], [0.000, 1.939, 5.361], [0.000, -1.939, 5.361]],
  "species": ["Pm", "Dy", "Co", "Ni"],
  "fractional_positions": [[0.000, 0.000, 0.000], [0.500, 0.281, 0.281], [0.500, 0.577, 0.577], [0.000, 0.712, 0.712]]
}



{
  "formula": "PmDyCoNi",
  "functional": "PBE-GGA",
  "state": "relaxed",
  "dft_energy_ev_per_atom": -5.7414,
  "delta_e_f_ev_per_atom": -0.181,
  "mass_density_g_cm3": 8.97,
  "spacegroup": "F-43m (216)",
  "relative_energy_ev_per_fu": 0.31,
  "crystal_system": "cubic",
  "lattice_angstrom": [[0.000, 3.401, 3.401], [3.401, 0.000, 3.401], [3.401, 3.401, 0.000]],
  "species": ["Pm", "Dy", "Co", "Ni"],
  "fractional_positions": [[0.000, 0.000, 0.000], [0.500, 0.500, 0.500], [0.250, 0.250, 0.250], [0.750, 0.750, 0.750]]
}



{
  "formula": "DyPuCoNi",
  "functional": "PBE-GGA",
  "state": "relaxed",
  "dft_energy_ev_per_atom": -8.0408,
  "delta_e_f_ev_per_atom": -0.085,
  "mass_density_g_cm3": 11.64,
  "spacegroup": "F-43m (216)",
  "crystal_system": "cubic",
  "lattice_angstrom": [[0.000, 3.344, 3.344], [3.344, 0.000, 3.344], [3.344, 3.344, 0.000]],
  "species": ["Dy", "Pu", "Co", "Ni"],
  "fractional_positions": [[0.000, 0.000, 0.000], [0.500, 0.500, 0.500], [0.250, 0.250, 0.250], [0.750, 0.750, 0.750]]
}



{
  "formula": "Dy2CoSi3Ni12",
  "functional": "PBE-GGA",
  "state": "relaxed",
  "dft_energy_ev_per_atom": -5.7319,
  "mass_density_g_cm3": 7.57,
  "spacegroup": "R-3m (166)",
  "crystal_system": "trigonal",
  "lattice_angstrom": [[3.025, 1.747, 8.113], [-3.025, 1.747, 8.113], [0.000, -3.493, 8.113]],
  "species": ["Dy", "Dy", "Co", "Si", "Si", "Si", "Ni", "Ni", "Ni", "Ni", "Ni", "Ni", "Ni", "Ni", "Ni", "Ni", "Ni", "Ni"],
  "fractional_positions": [[0.151, 0.151, 0.151], [0.849, 0.849, 0.849], [0.500, 0.500, 0.500], [0.000, 0.500, 0.500], [0.500, 0.000, 0.500], [0.500, 0.500, 0.000], [0.089, 0.089, 0.687], [0.089, 0.687, 0.089], [0.146, 0.571, 0.571], [0.313, 0.911, 0.911], [0.429, 0.429, 0.854], [0.429, 0.854, 0.429], [0.571, 0.146, 0.571], [0.571, 0.571, 0.146], [0.687, 0.089, 0.089], [0.854, 0.429, 0.429], [0.911, 0.313, 0.911], [0.911, 0.911, 0.313]]
}



{
  "formula": "DyCo2Si2Ni",
  "functional": "PBE-GGA",
  "state": "relaxed",
  "dft_energy_ev_per_atom": -6.0478,
  "mass_density_g_cm3": 7.11,
  "spacegroup": "P4/mmm (123)",
  "crystal_system": "tetragonal",
  "lattice_angstrom": [[4.240, 0.000, 0.000], [0.000, 4.240, 0.000], [0.000, 0.000, 5.134]],
  "species": ["Dy", "Co", "Co", "Si", "Si", "Ni"],
  "fractional_positions": [[0.000, 0.000, 0.000], [0.500, 0.500, 0.245], [0.500, 0.500, 0.755], [0.000, 0.500, 0.500], [0.500, 0.000, 0.500], [0.000, 0.000, 0.500]]
}



{
  "formula": "Dy2Co3SiNi12",
  "functional": "PBE-GGA",
  "state": "relaxed",
  "dft_energy_ev_per_atom": -5.7011,
  "mass_density_g_cm3": 8.08,
  "spacegroup": "R-3m (166)",
  "crystal_system": "trigonal",
  "lattice_angstrom": [[2.965, 1.712, 8.331], [-2.965, 1.712, 8.331], [0.000, -3.424, 8.331]],
  "species": ["Dy", "Dy", "Co", "Co", "Co", "Si", "Ni", "Ni", "Ni", "Ni", "Ni", "Ni", "Ni", "Ni", "Ni", "Ni", "Ni", "Ni"],
  "fractional_positions": [[0.150, 0.150, 0.150], [0.850, 0.850, 0.850], [0.000, 0.500, 0.500], [0.500, 0.000, 0.500], [0.500, 0.500, 0.000], [0.500, 0.500, 0.500], [0.082, 0.082, 0.689], [0.082, 0.689, 0.082], [0.146, 0.575, 0.575], [0.311, 0.918, 0.918], [0.425, 0.425, 0.854], [0.425, 0.854, 0.425], [0.575, 0.146, 0.575], [0.575, 0.575, 0.146], [0.689, 0.082, 0.082], [0.854, 0.425, 0.425], [0.918, 0.311, 0.918], [0.918, 0.918, 0.311]]
}



{
  "formula": "SmDyCoNi",
  "functional": "PBE-GGA",
  "state": "relaxed",
  "dft_energy_ev_per_atom": -5.8191,
  "delta_e_f_ev_per_atom": -0.267,
  "mass_density_g_cm3": 8.76,
  "spacegroup": "Amm2 (38)",
  "crystal_system": "orthorhombic",
  "lattice_angstrom": [[3.964, 0.000, 0.000], [0.000, 1.941, 5.302], [0.000, -1.941, 5.302]],
  "species": ["Sm", "Dy", "Co", "Ni"],
  "fractional_positions": [[0.000, 0.000, 0.000], [0.500, 0.717, 0.717], [0.000, 0.285, 0.285], [0.500, 0.420, 0.420]]
}



{
  "formula": "DyTmCoNi",
  "functional": "PBE-GGA",
  "state": "relaxed",
  "dft_energy_ev_per_atom": -5.8296,
  "delta_e_f_ev_per_atom": -0.339,
  "mass_density_g_cm3": 9.62,
  "spacegroup": "Amm2 (38)",
  "relative_energy_ev_per_fu": 0.00,
  "crystal_system": "orthorhombic",
  "lattice_angstrom": [[3.944, 0.000, 0.000], [0.000, 1.902, 5.166], [0.000, -1.902, 5.166]],
  "species": ["Dy", "Tm", "Co", "Ni"],
  "fractional_positions": [[0.000, 0.000, 0.000], [0.500, 0.715, 0.715], [0.000, 0.286, 0.286], [0.500, 0.423, 0.423]]
}



{
  "formula": "DyTmCoNi",
  "functional": "PBE-GGA",
  "state": "relaxed",
  "dft_energy_ev_per_atom": -5.7870,
  "delta_e_f_ev_per_atom": -0.297,
  "mass_density_g_cm3": 10.11,
  "spacegroup": "F-43m (216)",
  "relative_energy_ev_per_fu": 0.17,
  "crystal_system": "cubic",
  "lattice_angstrom": [[0.000, 3.329, 3.329], [3.329, 0.000, 3.329], [3.329, 3.329, 0.000]],
  "species": ["Dy", "Tm", "Co", "Ni"],
  "fractional_positions": [[0.000, 0.000, 0.000], [0.500, 0.500, 0.500], [0.750, 0.750, 0.750], [0.250, 0.250, 0.250]]
}



{
  "formula": "DyZnCoNi",
  "functional": "PBE-GGA",
  "state": "relaxed",
  "dft_energy_ev_per_atom": -4.8516,
  "delta_e_f_ev_per_atom": -0.161,
  "mass_density_g_cm3": 9.41,
  "spacegroup": "F-43m (216)",
  "crystal_system": "cubic",
  "lattice_angstrom": [[0.000, 3.124, 3.124], [3.124, 0.000, 3.124], [3.124, 3.124, 0.000]],
  "species": ["Dy", "Zn", "Co", "Ni"],
  "fractional_positions": [[0.000, 0.000, 0.000], [0.500, 0.500, 0.500], [0.750, 0.750, 0.750], [0.250, 0.250, 0.250]]
}



{
  "formula": "Dy2Zn3CoNi12",
  "functional": "PBE-GGA",
  "state": "relaxed",
  "dft_energy_ev_per_atom": -4.8512,
  "delta_e_f_ev_per_atom": 0.121,
  "mass_density_g_cm3": 8.11,
  "spacegroup": "R-3m (166)",
  "crystal_system": "trigonal",
  "lattice_angstrom": [[2.975, 1.718, 8.578], [-2.975, 1.718, 8.578], [0.000, -3.436, 8.578]],
  "species": ["Dy", "Dy", "Zn", "Zn", "Zn", "Co", "Ni", "Ni", "Ni", "Ni", "Ni", "Ni", "Ni", "Ni", "Ni", "Ni", "Ni", "Ni"],
  "fractional_positions": [[0.151, 0.151, 0.151], [0.849, 0.849, 0.849], [0.000, 0.500, 0.500], [0.500, 0.000, 0.500], [0.500, 0.500, 0.000], [0.500, 0.500, 0.500], [0.079, 0.079, 0.686], [0.079, 0.686, 0.079], [0.145, 0.576, 0.576], [0.314, 0.921, 0.921], [0.424, 0.424, 0.855], [0.424, 0.855, 0.424], [0.576, 0.145, 0.576], [0.576, 0.576, 0.145], [0.686, 0.079, 0.079], [0.855, 0.424, 0.424], [0.921, 0.314, 0.921], [0.921, 0.921, 0.314]]
}



{
  "formula": "Dy2ZnCo3Ni12",
  "functional": "PBE-GGA",
  "state": "relaxed",
  "dft_energy_ev_per_atom": -5.3751,
  "delta_e_f_ev_per_atom": 0.246,
  "mass_density_g_cm3": 8.18,
  "spacegroup": "R-3m (166)",
  "crystal_system": "trigonal",
  "lattice_angstrom": [[2.935, 1.695, 8.647], [-2.935, 1.695, 8.647], [0.000, -3.389, 8.647]],
  "species": ["Dy", "Dy", "Zn", "Co", "Co", "Co", "Ni", "Ni", "Ni", "Ni", "Ni", "Ni", "Ni", "Ni", "Ni", "Ni", "Ni", "Ni"],
  "fractional_positions": [[0.147, 0.147, 0.147], [0.853, 0.853, 0.853], [0.500, 0.500, 0.500], [0.000, 0.500, 0.500], [0.500, 0.000, 0.500], [0.500, 0.500, 0.000], [0.083, 0.083, 0.690], [0.083, 0.690, 0.083], [0.139, 0.574, 0.574], [0.310, 0.917, 0.917], [0.426, 0.426, 0.861], [0.426, 0.861, 0.426], [0.574, 0.139, 0.574], [0.574, 0.574, 0.139], [0.690, 0.083, 0.083], [0.861, 0.426, 0.426], [0.917, 0.310, 0.917], [0.917, 0.917, 0.310]]
}



Size of the total moment in μB per formula unit, matching the order above: 0.000 0.181 4.908 2.880 0.811 9.500 0.000 0.000 0.012 0.000 4.141 10.160